1.
Cr2Sn2S (PBE, optimized geometry); energy = -5.528 eV per atom; space-group type = No. 139
1.0
4.055 0.000 0.000
0.000 4.055 0.000
0.000 0.000 12.062
Cr Sn S
4 4 2
Cartesian
0.000 0.000 0.911
0.000 0.000 11.151
2.027 2.027 5.120
2.027 2.027 6.942
0.000 2.027 3.015
0.000 2.027 9.046
2.027 0.000 3.015
2.027 0.000 9.046
0.000 0.000 6.031
2.027 2.027 0.000



2.
AcEr4Ga4 (PBE, optimized geometry); formation energy from the elements = -341 meV per atom; energy = -4.171 eV per atom; space-group type = No. 86
1.0
9.459 0.000 0.000
0.000 9.459 0.000
0.000 0.000 5.818
Ac Er Ga
2 8 8
Cartesian
2.365 2.365 1.454
7.094 7.094 4.363
0.862 6.127 0.783
1.398 8.597 3.692
3.331 5.591 3.692
3.867 8.060 0.783
5.591 1.398 5.034
6.127 3.867 2.126
8.060 0.862 2.126
8.597 3.331 5.034
0.416 5.656 3.706
0.926 9.042 0.797
3.803 5.146 0.797
4.313 8.532 3.706
5.146 0.926 2.112
5.656 4.313 5.021
8.532 0.416 5.021
9.042 3.803 2.112



3.
Sb3Mo (PBE, optimized geometry); energy = -5.331 eV per atom; space-group type = No. 25
1.0
3.528 0.000 0.000
0.000 4.635 0.000
0.000 0.000 6.573
Sb Mo
3 1
Cartesian
0.000 0.000 0.000
0.000 2.317 3.228
1.764 2.317 5.909
1.764 0.000 4.373